(1)
{"formula": "Nd4P3", "functional": "PBE-GGA", "state": "relaxed", "lattice": [[2.077, 1.199, 13.299], [-2.077, 1.199, 13.299], [0.000, -2.398, 13.299]], "species": ["Nd", "Nd", "Nd", "Nd", "P", "P", "P"], "frac_coords": [[0.124, 0.124, 0.124], [0.374, 0.374, 0.374], [0.626, 0.626, 0.626], [0.876, 0.876, 0.876], [0.000, 0.000, 0.000], [0.247, 0.247, 0.247], [0.753, 0.753, 0.753]], "crystal_system": "trigonal", "e_form_ev_per_atom": -1.3018, "magnetic_moment_mub_per_cell": 0.000}


(2)
{"formula": "NdP4", "functional": "PBE-GGA", "state": "relaxed", "lattice": [[5.415, 0.000, 0.000], [0.000, 5.415, 0.000], [0.000, 0.000, 5.415]], "species": ["Nd", "P", "P", "P", "P"], "frac_coords": [[0.000, 0.000, 0.000], [0.000, 0.000, 0.500], [0.000, 0.500, 0.000], [0.500, 0.000, 0.000], [0.500, 0.500, 0.500]], "crystal_system": "cubic", "e_form_ev_per_atom": 1.4039, "magnetic_moment_mub_per_cell": 1.180}


(3)
{"formula": "Nd5P4", "functional": "PBE-GGA", "state": "relaxed", "lattice": [[-5.800, 5.800, 2.025], [5.800, -5.800, 2.025], [5.800, 5.800, -2.025]], "species": ["Nd", "Nd", "Nd", "Nd", "Nd", "P", "P", "P", "P"], "frac_coords": [[0.000, 0.000, 0.000], [0.263, 0.597, 0.860], [0.403, 0.263, 0.667], [0.597, 0.737, 0.333], [0.737, 0.403, 0.140], [0.094, 0.773, 0.867], [0.227, 0.094, 0.321], [0.773, 0.906, 0.679], [0.906, 0.227, 0.133]], "crystal_system": "tetragonal", "e_form_ev_per_atom": -1.1663, "magnetic_moment_mub_per_cell": 0.000}


(4)
{"formula": "Nd6P5", "functional": "PBE-GGA", "state": "relaxed", "lattice": [[3.598, -6.223, 0.000], [3.598, 6.223, 0.000], [-2.403, 0.000, 6.783]], "species": ["Nd", "Nd", "Nd", "Nd", "Nd", "Nd", "P", "P", "P", "P", "P"], "frac_coords": [[0.067, 0.415, 0.744], [0.239, 0.239, 0.260], [0.415, 0.067, 0.744], [0.585, 0.933, 0.256], [0.761, 0.761, 0.740], [0.933, 0.585, 0.256], [0.000, 0.000, 0.500], [0.167, 0.833, 0.000], [0.335, 0.665, 0.500], [0.665, 0.335, 0.500], [0.833, 0.167, 0.000]], "crystal_system": "monoclinic", "e_form_ev_per_atom": -1.4129, "magnetic_moment_mub_per_cell": 0.916}